# 1
VASP calculation (PBE-GGA) on a relaxed TbFe6 crystal. Values from VASP.

Quantum ESPRESSO input file:
```
&SYSTEM
  ibrav = 0, nat = 28, ntyp = 2
/
ATOMIC_SPECIES
Tb 158.93 Tb.upf
Fe 55.84 Fe.upf
ATOMIC_POSITIONS crystal
Tb 0.242 0.250 0.064
Tb 0.258 0.750 0.564
Tb 0.742 0.250 0.436
Tb 0.758 0.750 0.936
Fe 0.050 0.750 0.095
Fe 0.064 0.007 0.308
Fe 0.064 0.493 0.308
Fe 0.094 0.250 0.515
Fe 0.146 0.750 0.859
Fe 0.191 0.250 0.752
Fe 0.309 0.750 0.252
Fe 0.354 0.250 0.359
Fe 0.406 0.750 0.015
Fe 0.436 0.507 0.808
Fe 0.436 0.993 0.808
Fe 0.450 0.250 0.595
Fe 0.550 0.750 0.405
Fe 0.564 0.007 0.192
Fe 0.564 0.493 0.192
Fe 0.594 0.250 0.985
Fe 0.646 0.750 0.641
Fe 0.691 0.250 0.748
Fe 0.809 0.750 0.248
Fe 0.854 0.250 0.141
Fe 0.906 0.750 0.485
Fe 0.936 0.507 0.692
Fe 0.936 0.993 0.692
Fe 0.950 0.250 0.905
CELL_PARAMETERS angstrom
7.936 0.000 0.000
0.000 4.832 0.000
0.000 0.000 10.076
```

D(E_F) = 1.1024 states/eV per atom
Energy relative to the lowest polymorph listed for this composition = 0.00 eV/f.u.
E_tot = -7.873 eV per atom

# 2
VASP calculation (PBE-GGA) on a relaxed CeYThTc crystal. Values from VASP.

Quantum ESPRESSO input file:
```
&SYSTEM
  ibrav = 0, nat = 4, ntyp = 4
/
ATOMIC_SPECIES
Ce 140.12 Ce.upf
Y 88.91 Y.upf
Th 232.04 Th.upf
Tc 98.00 Tc.upf
ATOMIC_POSITIONS crystal
Ce 0.000 0.000 0.000
Y 0.224 0.224 0.224
Th 0.434 0.434 0.434
Tc 0.647 0.647 0.647
CELL_PARAMETERS angstrom
2.222 1.283 6.513
-2.222 1.283 6.513
0.000 -2.566 6.513
```

D(E_F) = 1.3335 states/eV per atom
E_tot = -7.368 eV per atom

# 3
VASP calculation (PBE-GGA) on a relaxed LaBe crystal. Values from VASP.

Quantum ESPRESSO input file:
```
&SYSTEM
  ibrav = 0, nat = 2, ntyp = 2
/
ATOMIC_SPECIES
La 138.91 La.upf
Be 9.01 Be.upf
ATOMIC_POSITIONS crystal
La 0.000 0.000 0.000
Be 0.333 0.667 0.500
CELL_PARAMETERS angstrom
3.686 0.000 0.000
-1.843 3.192 0.000
0.000 0.000 4.347
```

D(E_F) = 1.3287 states/eV per atom
Energy relative to the lowest polymorph listed for this composition = 1.10 eV/f.u.
E_tot = -3.738 eV per atom

# 4
VASP calculation (PBE-GGA) on a relaxed Tb3Ce2PmEr6 crystal. Values from VASP.

Quantum ESPRESSO input file:
```
&SYSTEM
  ibrav = 0, nat = 12, ntyp = 4
/
ATOMIC_SPECIES
Tb 158.93 Tb.upf
Ce 140.12 Ce.upf
Pm 145.00 Pm.upf
Er 167.26 Er.upf
ATOMIC_POSITIONS crystal
Tb 0.000 0.000 0.000
Tb 0.334 0.666 0.000
Tb 0.666 0.334 0.000
Ce 0.167 0.833 0.500
Ce 0.833 0.167 0.500
Pm 0.500 0.500 0.500
Er 0.081 0.417 0.250
Er 0.248 0.248 0.749
Er 0.417 0.081 0.250
Er 0.583 0.919 0.750
Er 0.752 0.752 0.251
Er 0.919 0.583 0.750
CELL_PARAMETERS angstrom
3.061 -5.301 0.000
3.061 5.301 0.000
-2.039 0.000 11.486
```

D(E_F) = 1.7604 states/eV per atom
E_tot = -4.777 eV per atom

# 5
VASP calculation (PBE-GGA) on a relaxed LaSm3Y12 crystal. Values from VASP.

Quantum ESPRESSO input file:
```
&SYSTEM
  ibrav = 0, nat = 16, ntyp = 3
/
ATOMIC_SPECIES
La 138.91 La.upf
Sm 150.36 Sm.upf
Y 88.91 Y.upf
ATOMIC_POSITIONS crystal
La 0.000 0.000 0.000
Sm 0.000 0.000 0.251
Sm 0.000 0.000 0.500
Sm 0.000 0.000 0.749
Y 0.000 0.500 0.127
Y 0.000 0.500 0.376
Y 0.000 0.500 0.624
Y 0.000 0.500 0.873
Y 0.500 0.000 0.127
Y 0.500 0.000 0.376
Y 0.500 0.000 0.624
Y 0.500 0.000 0.873
Y 0.500 0.500 0.000
Y 0.500 0.500 0.252
Y 0.500 0.500 0.500
Y 0.500 0.500 0.748
CELL_PARAMETERS angstrom
5.083 0.000 0.000
0.000 5.083 0.000
0.000 0.000 20.351
```

D(E_F) = 1.5200 states/eV per atom
E_tot = -6.017 eV per atom

# 6
VASP calculation (PBE-GGA) on a relaxed Zr2Be4GaPt3 crystal. Values from VASP.

Quantum ESPRESSO input file:
```
&SYSTEM
  ibrav = 0, nat = 10, ntyp = 4
/
ATOMIC_SPECIES
Zr 91.22 Zr.upf
Be 9.01 Be.upf
Ga 69.72 Ga.upf
Pt 195.08 Pt.upf
ATOMIC_POSITIONS crystal
Zr 0.000 0.500 0.247
Zr 0.500 0.000 0.753
Be 0.000 0.000 0.000
Be 0.000 0.500 0.644
Be 0.500 0.000 0.356
Be 0.500 0.500 0.000
Ga 0.000 0.000 0.500
Pt 0.000 0.500 0.876
Pt 0.500 0.000 0.124
Pt 0.500 0.500 0.500
CELL_PARAMETERS angstrom
3.855 0.000 0.000
0.000 3.855 0.000
0.000 0.000 9.633
```

D(E_F) = 0.7433 states/eV per atom
E_tot = -5.975 eV per atom

Number 1: ΔH_f (0 K) 42 meV per atom. Number 2: ΔH_f (0 K) 178 meV per atom. Number 3: ΔH_f (0 K) 589 meV per atom. Number 4: ΔH_f (0 K) 47 meV per atom. Number 5: ΔH_f (0 K) 24 meV per atom. Number 6: ΔH_f (0 K) -660 meV per atom.